Entry from the Alexandria database: a relaxed NaLaOs3 crystal (PBE).

DFT formation energy = 2.56 eV/atom
mass density = 9.8 g/cm³
DOS at the Fermi energy = 5.29 states/eV/f.u.
energy relative to the lowest polymorph listed for this composition = 0.377 eV per atom

abc: 4.9966 4.9966 4.9966
angles: 90.00 90.00 90.00
Each line ends with the local moment (μB).
Fractional positions:
1 Os 0.0000 0.0000 0.5000  1.33
2 Os 0.5000 0.0000 0.0000  1.08
3 Os 0.0000 0.5000 0.0000  1.37
4 Na 0.5000 0.5000 0.5000  -0.01
5 La 0.0000 0.0000 0.0000  -0.12